# Tl2Cr3F10

Tl2Cr3F10 after structural relaxation (PBE with a Hubbard U, Alexandria).

Lattice parameters (Å, degrees): 19.7704 6.3148 7.9532 90.00 113.71 90.00
Space group C2/m (No. 12)
One atom of each set of equivalent atoms:
Tl: 0.1163 0.0000 0.2186 x4
Tl: 0.2121 0.0000 0.8377 x4
Cr: 0.0000 0.2454 0.5000 x4
Cr: 0.0742 0.5000 0.9694 x4
Cr: 0.1845 0.5000 0.5157 x4
F: 0.0000 0.3013 0.0000 x4
F: 0.0165 0.0000 0.6749 x4
F: 0.0205 0.5000 0.6917 x4
F: 0.1172 0.2836 0.5255 x8
F: 0.1312 0.5000 0.2393 x4
F: 0.1352 0.2788 0.9548 x8
F: 0.2398 0.5000 0.7722 x4
F: 0.2500 0.2500 0.5000 x4

Properties
total magnetic moment = 0.67 μB per atom
calculated density = 5.5 Mg/m³
crystal system = monoclinic
calculated total energy = -5.522 eV per atom